Density functional theory data (PBE-GGA) for a relaxed structure of Sm6YTm2Th.

DFT total energy in Ha/atom: -0.1826
DOS at the Fermi energy in states/eV per cell: 57.942

```
data_Sm6YTm2Th
_chemical_formula_sum 'Sm24 Y4 Tm8 Th4'
_space_group_name_H-M_alt 'C 1 2/c 1'
_space_group_IT_number 15
_space_group_name_Hall '-C 2yc'
_cell_length_a 9.310
_cell_length_b 15.005
_cell_length_c 9.564
_cell_angle_alpha 90.00
_cell_angle_beta 96.67
_cell_angle_gamma 90.00
loop_
_atom_site_label
_atom_site_fract_x
_atom_site_fract_y
_atom_site_fract_z
Sm1 0.062 0.174 0.442
Sm2 0.095 0.389 0.617
Sm3 0.209 0.220 0.815
Y1 0.000 0.409 0.250
Tm1 0.250 0.047 0.051
Th1 0.000 0.032 0.750
```